The following is a DFT calculation (PBE) of an optimized crystal structure of V4Ru.

abc: 4.2294 4.9717 4.2285
angles: 115.09 120.20 64.89
With the nearest neighbours (Å) after each atom.
Fractional positions:
V1 0.5990 0.2029 0.4010  5 V 2.58-2.65, 3 Ru 2.59-2.60
V2 0.1975 0.4077 0.8025  7 V 2.56-2.65, 1 Ru 2.57
Ru1 0.0000 0.0000 0.0000  8 V 2.57-2.60
V3 0.4010 0.7971 0.5990  5 V 2.58-2.65, 3 Ru 2.59-2.60
V4 0.8025 0.5923 0.1975  7 V 2.56-2.65, 1 Ru 2.57

Values from the calculation:
Uncorrected energy ... -47.05 eV/cell
Fermi-level density of states ... 3.60 states/eV/f.u.
Formation energy ... -1.296 eV per formula unit
Distance to the lowest polymorph of the same formula ... 0.00 eV per formula unit